No. 1
The following is a SCAN calculation of K2LiBeRe at its PBEsol-relaxed geometry, from Alexandria via LeMat-Bulk.

Structure (CIF):
```
data_K2LiBeRe
_space_group_name_H-M_alt 'P 4/m m m'
_space_group_IT_number 123
_space_group_name_Hall '-P 4 2'
_cell_length_a 6.362
_cell_length_b 6.362
_cell_length_c 4.372
_cell_angle_alpha 90.00
_cell_angle_beta 90.00
_cell_angle_gamma 90.00
loop_
_atom_site_label
_atom_site_type_symbol
_atom_site_fract_x
_atom_site_fract_y
_atom_site_fract_z
K1 K 0.000 0.500 0.000
Li1 Li 0.000 0.000 0.500
Be1 Be 0.500 0.500 0.500
Re1 Re 0.500 0.500 0.000
```

Summary:
Total energy (eV/atom): -17.54

---

No. 2
The following is a SCAN calculation of KMn2Be at its PBEsol-relaxed geometry, from Alexandria via LeMat-Bulk.

Structure (CIF):
```
data_KMn2Be
_space_group_name_H-M_alt 'P 4/m m m'
_space_group_IT_number 123
_space_group_name_Hall '-P 4 2'
_cell_length_a 2.962
_cell_length_b 2.962
_cell_length_c 7.246
_cell_angle_alpha 90.00
_cell_angle_beta 90.00
_cell_angle_gamma 90.00
loop_
_atom_site_label
_atom_site_type_symbol
_atom_site_fract_x
_atom_site_fract_y
_atom_site_fract_z
K1 K 0.000 0.000 0.000
Mn1 Mn 0.500 0.500 0.369
Be1 Be 0.000 0.000 0.500
```

Summary:
Total energy (eV/atom): -11.43

---

No. 3
The following is a SCAN calculation of KMn2Be at its PBEsol-relaxed geometry, from Alexandria via LeMat-Bulk.

Structure (CIF):
```
data_KMn2Be
_space_group_name_H-M_alt 'C 1 2/m 1'
_space_group_IT_number 12
_space_group_name_Hall '-C 2y'
_cell_length_a 5.722
_cell_length_b 9.454
_cell_length_c 2.685
_cell_angle_alpha 90.00
_cell_angle_beta 115.78
_cell_angle_gamma 90.00
loop_
_atom_site_label
_atom_site_type_symbol
_atom_site_fract_x
_atom_site_fract_y
_atom_site_fract_z
K1 K 0.000 0.000 0.000
Mn1 Mn 0.250 0.250 0.500
Be1 Be 0.000 0.500 0.000
```

Summary:
Total energy (eV/atom): -11.30

---

No. 4
The following is a SCAN calculation of K4MnBe at its PBEsol-relaxed geometry, from Alexandria via LeMat-Bulk.

Structure (CIF):
```
data_K4MnBe
_space_group_name_H-M_alt 'F -4 3 m'
_space_group_IT_number 216
_space_group_name_Hall 'F -4 2 3'
_cell_length_a 10.064
_cell_length_b 10.064
_cell_length_c 10.064
_cell_angle_alpha 90.00
_cell_angle_beta 90.00
_cell_angle_gamma 90.00
loop_
_atom_site_label
_atom_site_type_symbol
_atom_site_fract_x
_atom_site_fract_y
_atom_site_fract_z
K1 K 0.125 0.125 0.125
Mn1 Mn 0.000 0.000 0.500
Be1 Be 0.250 0.250 0.750
```

Summary:
Total energy (eV/atom): -8.36

---

No. 5
The following is a SCAN calculation of KMn2Be2 at its PBEsol-relaxed geometry, from Alexandria via LeMat-Bulk.

Structure (CIF):
```
data_KMn2Be2
_space_group_name_H-M_alt 'P 4/m m m'
_space_group_IT_number 123
_space_group_name_Hall '-P 4 2'
_cell_length_a 4.498
_cell_length_b 4.498
_cell_length_c 4.485
_cell_angle_alpha 90.00
_cell_angle_beta 90.00
_cell_angle_gamma 90.00
loop_
_atom_site_label
_atom_site_type_symbol
_atom_site_fract_x
_atom_site_fract_y
_atom_site_fract_z
K1 K 0.000 0.000 0.000
Mn1 Mn 0.000 0.000 0.500
Mn2 Mn 0.500 0.500 0.500
Be1 Be 0.000 0.500 0.000
```

Summary:
Total energy (eV/atom): -8.41

---

No. 6
The following is a SCAN calculation of KBeMo at its PBEsol-relaxed geometry, from Alexandria via LeMat-Bulk.

Structure (CIF):
```
data_KBeMo
_space_group_name_H-M_alt 'F -4 3 m'
_space_group_IT_number 216
_space_group_name_Hall 'F -4 2 3'
_cell_length_a 6.496
_cell_length_b 6.496
_cell_length_c 6.496
_cell_angle_alpha 90.00
_cell_angle_beta 90.00
_cell_angle_gamma 90.00
loop_
_atom_site_label
_atom_site_type_symbol
_atom_site_fract_x
_atom_site_fract_y
_atom_site_fract_z
K1 K 0.000 0.000 0.000
Be1 Be 0.250 0.250 0.250
Mo1 Mo 0.000 0.000 0.500
```

Summary:
Polymorph energy (0 for the lowest one) (eV/f.u.): 2.81
Total energy (eV/atom): -13.93

---

No. 7
The following is a SCAN calculation of KBeMo at its PBEsol-relaxed geometry, from Alexandria via LeMat-Bulk.

Structure (CIF):
```
data_KBeMo
_space_group_name_H-M_alt 'I 4 m m'
_space_group_IT_number 107
_space_group_name_Hall 'I 4 -2'
_cell_length_a 2.758
_cell_length_b 2.758
_cell_length_c 14.233
_cell_angle_alpha 90.00
_cell_angle_beta 90.00
_cell_angle_gamma 90.00
loop_
_atom_site_label
_atom_site_type_symbol
_atom_site_fract_x
_atom_site_fract_y
_atom_site_fract_z
K1 K 0.000 0.000 0.000
Be1 Be 0.000 0.000 0.311
Mo1 Mo 0.000 0.000 0.708
```

Summary:
Polymorph energy (0 for the lowest one) (eV/f.u.): 0.00
Total energy (eV/atom): -14.87

---

No. 8
The following is a SCAN calculation of K2BeN at its PBEsol-relaxed geometry, from Alexandria via LeMat-Bulk.

Structure (CIF):
```
data_K2BeN
_space_group_name_H-M_alt 'I -4 2 d'
_space_group_IT_number 122
_space_group_name_Hall 'I -4 2bw'
_cell_length_a 11.581
_cell_length_b 11.581
_cell_length_c 3.105
_cell_angle_alpha 90.00
_cell_angle_beta 90.00
_cell_angle_gamma 90.00
loop_
_atom_site_label
_atom_site_type_symbol
_atom_site_fract_x
_atom_site_fract_y
_atom_site_fract_z
K1 K 0.040 0.750 0.125
Be1 Be 0.000 0.000 0.500
N1 N 0.000 0.000 0.000
```

Summary:
Total energy (eV/atom): -7.88